Record 1
## TbSm2Y6Er3 (GGA-PBE)

Data for a relaxed structure of TbSm2Y6Er3.

Lattice parameters (Å, degrees): 6.172 6.172 11.805 94.99 94.99 119.95
Element x y z (fractional)
Tb 0.000 0.000 0.000
Sm 0.333 0.667 0.000
Sm 0.667 0.333 0.000
Y 0.085 0.418 0.252
Y 0.248 0.248 0.747
Y 0.418 0.085 0.252
Y 0.582 0.915 0.748
Y 0.752 0.752 0.253
Y 0.915 0.582 0.748
Er 0.167 0.833 0.500
Er 0.500 0.500 0.500
Er 0.833 0.167 0.500

## Properties
Total magnetization in μB/f.u.: 0.0
Volume in Å³/atom: 31.97
Theoretical density in Mg/m³: 6.5
Calculated formation energy in meV per atom: 21

Record 2
## Tb3SmYEr (GGA-PBE)

Data for a relaxed structure of Tb3SmYEr.

Lattice parameters (Å, degrees): 9.754 9.754 7.297 90.35 90.35 34.30
Element x y z (fractional)
Tb 0.022 0.022 0.245
Tb 0.285 0.285 0.249
Tb 0.330 0.330 0.755
Tb 0.670 0.670 0.245
Tb 0.715 0.715 0.751
Tb 0.978 0.978 0.755
Sm 0.460 0.460 0.248
Sm 0.540 0.540 0.752
Y 0.148 0.148 0.535
Y 0.852 0.852 0.465
Er 0.148 0.148 0.960
Er 0.852 0.852 0.040

## Properties
Total magnetization in μB/f.u.: 0.0
Volume in Å³/atom: 32.61
Theoretical density in Mg/m³: 7.5
Calculated formation energy in meV per atom: 200

Record 3
## Tb2Sm2Y2Er (GGA-PBE)

Data for a relaxed structure of Tb2Sm2Y2Er.

Lattice parameters (Å, degrees): 8.810 8.810 8.810 37.71 37.71 37.71
Element x y z (fractional)
Tb 0.215 0.215 0.215
Tb 0.785 0.785 0.785
Sm 0.360 0.360 0.360
Sm 0.640 0.640 0.640
Y 0.072 0.072 0.072
Y 0.928 0.928 0.928
Er 0.500 0.500 0.500

## Properties
Total magnetization in μB/f.u.: 0.0
Volume in Å³/atom: 32.78
Theoretical density in Mg/m³: 7.0
Calculated formation energy in meV per atom: 137